CsCu2AgCl6: optimized geometry, PBE.

Properties
**Symmetry**: No. 15
**E_tot**: -3.0767 eV/atom
**Mass density**: 3.35 g cm⁻³

Lattice parameters (Å, degrees): 9.1325 9.1325 7.2216 102.10 102.10 84.23
Closest atoms and distances in Å follow each position.
Element x y z (fractional)
Ag  0.4028  0.5972  0.7500  6 Cl 2.60-2.88
Ag  0.5972  0.4028  0.2500  6 Cl 2.60-2.88
Cl  0.6794  0.5318  0.6089  1 Cu 2.26
Cl  0.3206  0.4682  0.3911  1 Cu 2.26
Cl  0.8639  0.8287  0.4627  2 Cu 2.29-2.31
Cl  0.5318  0.6794  0.1089  1 Cu 2.26
Cl  0.4682  0.3206  0.8911  1 Cu 2.26
Cl  0.6050  0.1062  0.2814  1 Cu 2.23
Cl  0.8287  0.8639  0.9627  2 Cu 2.29-2.31
Cl  0.1361  0.1713  0.5373  2 Cu 2.29-2.31
Cl  0.8938  0.3950  0.2186  1 Cu 2.23
Cl  0.1062  0.6050  0.7814  1 Cu 2.23
Cl  0.3950  0.8938  0.7186  1 Cu 2.23
Cl  0.1713  0.1361  0.0373  2 Cu 2.29-2.31
Cs  0.8126  0.1874  0.7500  8 Cl 3.48-3.58
Cs  0.1874  0.8126  0.2500  8 Cl 3.48-3.58
Cu  0.8688  0.6892  0.6939  4 Cl 2.23-2.31
Cu  0.3108  0.1312  0.8061  4 Cl 2.23-2.31
Cu  0.6892  0.8688  0.1939  4 Cl 2.23-2.31
Cu  0.1312  0.3108  0.3061  4 Cl 2.23-2.31